# 1
First-principles (PBE) data for crystalline ZrCuW2 at its relaxed geometry, as listed in Alexandria via LeMat-Bulk.

It has space group I-42d (No. 122), with a = 3.792 Å, b = 3.792 Å, c = 19.940 Å, α = 90.00°, β = 90.00° and γ = 90.00°. The inequivalent atoms are Zr at (0.000, 0.000, 0.000), Cu at (0.000, 0.000, 0.500) and W at (0.249, 0.750, 0.125).

The calculation puts the total energy at -9.00 eV/atom. As for the formation energy: 0.63 eV/atom.

---

# 2
First-principles (PBE) data for crystalline TcSb2Au at its relaxed geometry, as listed in Alexandria via LeMat-Bulk.

It has space group I-4m2 (No. 119), with a = 4.098 Å, b = 4.098 Å, c = 9.646 Å, α = 90.00°, β = 90.00° and γ = 90.00°. The inequivalent atoms are Tc at (0.000, 0.000, 0.000), Sb at (0.000, 0.000, 0.500), Sb at (0.000, 0.500, 0.250) and Au at (0.000, 0.500, 0.750).

The calculation puts the total energy at -5.03 eV/atom. For the uncorrected formation energy, the calculation gives 1.78 eV/f.u.

---

# 3
First-principles (PBE) data for crystalline Li2BRu2 at its relaxed geometry, as listed in Alexandria via LeMat-Bulk.

It has space group I4/mmm (No. 139), with a = 4.704 Å, b = 4.704 Å, c = 6.323 Å, α = 90.00°, β = 90.00° and γ = 90.00°. The inequivalent atoms are Li at (0.000, 0.500, 0.250), B at (0.000, 0.000, 0.000) and Ru at (0.000, 0.000, 0.308).

The calculation puts the total energy at -4.99 eV/atom. As for the formation energy: 0.83 eV/atom.

---

# 4
First-principles (PBE) data for crystalline DyHoZn4 at its relaxed geometry, as listed in Alexandria via LeMat-Bulk.

It has space group P2/m (No. 10), with a = 3.804 Å, b = 3.733 Å, c = 9.685 Å, α = 90.00°, β = 90.08° and γ = 90.00°. The inequivalent atoms are Dy at (0.000, 0.000, 0.000), Ho at (0.500, 0.500, 0.500), Zn at (0.001, 0.500, 0.748) and Zn at (0.499, 0.000, 0.751).

The calculation puts the total energy at -2.36 eV/atom. As for the formation energy: 0.02 eV/atom.